No. 1
! UAg2Hg3S6, optimized geometry, DFT PBE-GGA; values from VASP
! Raw formation energy = -0.389 eV per atom
! Calculated density = 6.64 Mg/m³
&SYSTEM
  ibrav = 0, nat = 12, ntyp = 4
/
ATOMIC_SPECIES
Hg 200.59 Hg.upf
S 32.06 S.upf
Ag 107.87 Ag.upf
U 238.03 U.upf
CELL_PARAMETERS angstrom
-1.291 5.702 -3.372
2.443 -4.146 -4.731
-6.845 -2.713 0.852
ATOMIC_POSITIONS angstrom
Hg -1.677 -3.663 -4.051
Hg -4.016 2.506 -3.200
Hg -2.846 -0.579 -3.625
S 0.150 -2.937 -5.411
S -6.059 -2.105 -1.395
S -3.403 -4.655 -2.729
S -5.843 1.780 -1.840
S 0.367 0.948 -5.856
S -2.289 3.497 -4.522
Ag 1.230 -0.947 -4.290
Ag -0.078 2.503 -3.813
U 0.000 0.000 0.000

No. 2
! UAg2Hg2S6, optimized geometry, DFT PBE-GGA; values from VASP
! Raw formation energy = -0.436 eV per atom
! Calculated density = 5.80 Mg/m³
&SYSTEM
  ibrav = 0, nat = 11, ntyp = 4
/
ATOMIC_SPECIES
S 32.06 S.upf
Hg 200.59 Hg.upf
Ag 107.87 Ag.upf
U 238.03 U.upf
CELL_PARAMETERS angstrom
6.694 0.735 0.216
-2.670 6.183 0.216
-1.401 -2.408 6.767
ATOMIC_POSITIONS angstrom
S 4.167 0.045 1.708
S 2.109 3.625 4.252
S -1.543 4.465 5.490
S -2.021 3.644 1.708
S 0.515 0.884 2.946
S 4.644 0.865 5.490
Hg 5.031 1.702 0.216
Hg -1.007 5.215 0.216
Ag 3.009 1.267 3.599
Ag -0.386 3.242 3.599
U -0.700 -1.204 3.383

No. 3
! VAg2HgS4, optimized geometry, DFT PBE-GGA; values from VASP
! Fermi-level density of states = 0.2523 states/eV per atom
! Raw formation energy = -0.332 eV per atom
! Calculated density = 5.27 Mg/m³
&SYSTEM
  ibrav = 0, nat = 8, ntyp = 4
/
ATOMIC_SPECIES
Ag 107.87 Ag.upf
S 32.06 S.upf
Hg 200.59 Hg.upf
V 50.94 V.upf
CELL_PARAMETERS angstrom
5.825 0.241 0.000
-0.243 5.825 0.000
-2.791 -3.033 5.521
ATOMIC_POSITIONS angstrom
Ag -0.121 2.912 2.761
Ag 2.912 0.121 2.761
S -1.212 -1.317 4.229
S 1.475 4.244 1.292
S 1.212 1.317 4.229
S 4.107 1.822 1.292
Hg 0.000 0.000 0.004
V 0.000 0.000 5.521

No. 4
! AgHgSb3, optimized geometry, DFT PBE-GGA; values from VASP
! Fermi-level density of states = 0.8766 states/eV per atom
! Raw formation energy = 0.643 eV per atom
! Calculated density = 7.05 Mg/m³
! ΔE to the lowest computed polymorph = 0.000 eV per atom
&SYSTEM
  ibrav = 0, nat = 5, ntyp = 3
/
ATOMIC_SPECIES
Sb 121.76 Sb.upf
Ag 107.87 Ag.upf
Hg 200.59 Hg.upf
CELL_PARAMETERS angstrom
-2.132 -0.924 4.891
-2.248 -4.569 -1.843
4.441 -2.756 1.415
ATOMIC_POSITIONS angstrom
Sb -1.066 -0.462 2.446
Sb -1.124 -2.284 -0.922
Sb 2.221 -1.378 0.708
Ag 0.000 0.000 0.000
Hg 0.030 -4.125 2.232

No. 5
! AgHgSb2, optimized geometry, DFT PBE-GGA; values from VASP
! Fermi-level density of states = 0.1656 states/eV per atom
! Raw formation energy = 0.136 eV per atom
! Calculated density = 8.57 Mg/m³
&SYSTEM
  ibrav = 0, nat = 8, ntyp = 3
/
ATOMIC_SPECIES
Ag 107.87 Ag.upf
Hg 200.59 Hg.upf
Sb 121.76 Sb.upf
CELL_PARAMETERS angstrom
-1.048 -2.977 -3.161
4.135 0.308 -1.661
4.722 -9.290 4.028
ATOMIC_POSITIONS angstrom
Ag 5.200 -5.158 -0.022
Ag 1.543 -1.334 -2.411
Hg 0.000 0.000 0.000
Hg 2.609 -6.801 -0.772
Sb 3.594 -2.617 -0.548
Sb 6.083 -9.315 -1.134
Sb 1.083 -4.030 -1.054
Sb 4.859 -7.957 1.149

No. 6
! Ag2HgSb, optimized geometry, DFT PBE-GGA; values from VASP
! Fermi-level density of states = 0.3766 states/eV per atom
! Raw formation energy = 0.106 eV per atom
! Calculated density = 10.15 Mg/m³
&SYSTEM
  ibrav = 0, nat = 4, ntyp = 3
/
ATOMIC_SPECIES
Ag 107.87 Ag.upf
Hg 200.59 Hg.upf
Sb 121.76 Sb.upf
CELL_PARAMETERS angstrom
-0.777 2.322 2.279
-3.329 1.305 -2.464
-3.628 -3.965 2.802
ATOMIC_POSITIONS angstrom
Ag -3.603 -3.937 2.783
Ag -2.978 0.803 0.622
Hg -1.699 -1.857 1.312
Sb -4.897 -1.294 2.104

No. 7
! AgHg2Sb, optimized geometry, DFT PBE-GGA; values from VASP
! Fermi-level density of states = 0.5433 states/eV per atom
! Raw formation energy = 0.177 eV per atom
! Calculated density = 10.19 Mg/m³
&SYSTEM
  ibrav = 0, nat = 4, ntyp = 3
/
ATOMIC_SPECIES
Ag 107.87 Ag.upf
Hg 200.59 Hg.upf
Sb 121.76 Sb.upf
CELL_PARAMETERS angstrom
-4.579 -0.609 -0.213
-2.344 -1.256 3.783
-3.078 4.718 2.485
ATOMIC_POSITIONS angstrom
Ag -7.687 3.427 4.853
Hg -2.911 3.561 2.204
Hg -2.465 0.469 1.454
Sb -5.017 1.541 3.055

No. 8
! AgHgSb2, optimized geometry, DFT PBE-GGA; values from VASP
! Fermi-level density of states = 0.3571 states/eV per atom
! Raw formation energy = 0.191 eV per atom
! Calculated density = 9.30 Mg/m³
&SYSTEM
  ibrav = 0, nat = 4, ntyp = 3
/
ATOMIC_SPECIES
Sb 121.76 Sb.upf
Hg 200.59 Hg.upf
Ag 107.87 Ag.upf
CELL_PARAMETERS angstrom
-0.704 -2.112 -10.223
-0.075 -5.177 -9.092
-3.194 -4.021 -9.116
ATOMIC_POSITIONS angstrom
Sb -3.971 -11.307 -28.422
Sb -0.964 -2.745 -6.900
Hg -3.010 -8.570 -21.542
Ag -1.986 -5.654 -14.213

No. 9
! Ag14HgSb, optimized geometry, DFT PBE-GGA; values from VASP
! Fermi-level density of states = 0.2380 states/eV per atom
! Raw formation energy = 0.042 eV per atom
! Calculated density = 10.17 Mg/m³
&SYSTEM
  ibrav = 0, nat = 16, ntyp = 3
/
ATOMIC_SPECIES
Ag 107.87 Ag.upf
Hg 200.59 Hg.upf
Sb 121.76 Sb.upf
CELL_PARAMETERS angstrom
6.000 -0.013 0.000
0.012 6.000 0.000
0.000 0.000 8.309
ATOMIC_POSITIONS angstrom
Ag 3.749 3.733 2.010
Ag 0.760 0.757 6.299
Ag 5.255 2.239 4.155
Ag 0.766 3.740 6.299
Ag 0.766 3.740 2.010
Ag 2.255 2.245 0.000
Ag 2.261 5.245 0.000
Ag 3.743 0.750 2.010
Ag 5.261 5.239 0.000
Ag 0.760 0.757 2.011
Ag 5.255 2.239 0.000
Ag 3.743 0.750 6.299
Ag 3.749 3.733 6.299
Ag 2.261 5.245 4.155
Hg 2.255 2.245 4.155
Sb 5.261 5.238 4.155

No. 10
! Ag2HgSb, optimized geometry, DFT PBE-GGA; values from VASP
! Fermi-level density of states = 0.6063 states/eV per atom
! Raw formation energy = 0.214 eV per atom
! Calculated density = 10.13 Mg/m³
&SYSTEM
  ibrav = 0, nat = 4, ntyp = 3
/
ATOMIC_SPECIES
Ag 107.87 Ag.upf
Sb 121.76 Sb.upf
Hg 200.59 Hg.upf
CELL_PARAMETERS angstrom
-2.721 1.379 3.957
-3.284 -3.186 2.005
0.899 -2.025 4.478
ATOMIC_POSITIONS angstrom
Ag -3.830 -2.874 7.830
Ag 0.000 0.000 0.000
Sb -1.277 -0.958 2.610
Hg -2.554 -1.916 5.220

No. 11
! AgHgSb2, optimized geometry, DFT PBE-GGA; values from VASP
! Fermi-level density of states = 0.3905 states/eV per atom
! Raw formation energy = 0.140 eV per atom
! Calculated density = 9.12 Mg/m³
&SYSTEM
  ibrav = 0, nat = 4, ntyp = 3
/
ATOMIC_SPECIES
Sb 121.76 Sb.upf
Hg 200.59 Hg.upf
Ag 107.87 Ag.upf
CELL_PARAMETERS angstrom
-1.918 -0.585 -2.513
-0.973 -2.746 1.359
-7.240 4.753 4.418
ATOMIC_POSITIONS angstrom
Sb -3.401 2.233 2.076
Sb -0.219 0.144 0.134
Hg -6.876 1.899 2.737
Ag -3.256 -0.477 0.528

No. 12
! AgHgSb2, optimized geometry, DFT PBE-GGA; values from VASP
! Fermi-level density of states = 0.3077 states/eV per atom
! Raw formation energy = 0.127 eV per atom
! Calculated density = 8.82 Mg/m³
&SYSTEM
  ibrav = 0, nat = 4, ntyp = 3
/
ATOMIC_SPECIES
Sb 121.76 Sb.upf
Hg 200.59 Hg.upf
Ag 107.87 Ag.upf
CELL_PARAMETERS angstrom
4.633 -0.011 0.021
3.566 2.957 0.021
0.951 0.342 7.568
ATOMIC_POSITIONS angstrom
Sb 7.114 2.556 5.472
Sb 7.962 2.861 0.125
Hg 2.138 0.768 2.025
Ag 4.707 1.691 3.834

No. 13
! AgHgSb2, optimized geometry, DFT PBE-GGA; values from VASP
! Fermi-level density of states = 0.2858 states/eV per atom
! Raw formation energy = 0.138 eV per atom
! Calculated density = 8.77 Mg/m³
&SYSTEM
  ibrav = 0, nat = 4, ntyp = 3
/
ATOMIC_SPECIES
Sb 121.76 Sb.upf
Hg 200.59 Hg.upf
Ag 107.87 Ag.upf
CELL_PARAMETERS angstrom
-6.048 -0.100 1.192
-0.616 -0.576 -3.171
0.204 -5.132 0.607
ATOMIC_POSITIONS angstrom
Sb -0.051 -0.712 -0.320
Sb -3.075 -0.765 0.276
Hg -3.281 -3.619 -1.007
Ag -0.257 -3.566 -1.602

No. 14
! Ag2HgSb, optimized geometry, DFT PBE-GGA; values from VASP
! Fermi-level density of states = 0.2512 states/eV per atom
! Raw formation energy = 0.117 eV per atom
! Calculated density = 10.39 Mg/m³
&SYSTEM
  ibrav = 0, nat = 4, ntyp = 3
/
ATOMIC_SPECIES
Sb 121.76 Sb.upf
Ag 107.87 Ag.upf
Hg 200.59 Hg.upf
CELL_PARAMETERS angstrom
5.551 0.052 0.000
2.166 5.111 0.000
-3.858 -2.581 3.043
ATOMIC_POSITIONS angstrom
Sb 2.775 0.026 1.522
Ag 0.000 0.000 0.000
Ag 1.083 2.555 1.522
Hg 3.858 2.581 0.000

No. 15
! AgHg2Sb, optimized geometry, DFT PBE-GGA; values from VASP
! Fermi-level density of states = 0.2937 states/eV per atom
! Raw formation energy = 0.173 eV per atom
! Calculated density = 11.14 Mg/m³
&SYSTEM
  ibrav = 0, nat = 4, ntyp = 3
/
ATOMIC_SPECIES
Ag 107.87 Ag.upf
Hg 200.59 Hg.upf
Sb 121.76 Sb.upf
CELL_PARAMETERS angstrom
5.539 0.030 0.000
-2.252 5.061 0.000
0.000 0.000 3.347
ATOMIC_POSITIONS angstrom
Ag -1.126 2.530 1.673
Hg 1.644 2.545 0.000
Hg 0.000 0.000 0.000
Sb 2.769 0.015 1.673

No. 16
! AgHg3Sb, optimized geometry, DFT PBE-GGA; values from VASP
! Fermi-level density of states = 0.4169 states/eV per atom
! Raw formation energy = 0.433 eV per atom
! Calculated density = 7.64 Mg/m³
! ΔE to the lowest computed polymorph = 0.000 eV per atom
&SYSTEM
  ibrav = 0, nat = 5, ntyp = 3
/
ATOMIC_SPECIES
Hg 200.59 Hg.upf
Sb 121.76 Sb.upf
Ag 107.87 Ag.upf
CELL_PARAMETERS angstrom
-1.208 4.695 2.910
-4.771 -2.388 1.872
2.784 -2.056 4.472
ATOMIC_POSITIONS angstrom
Hg -2.386 -1.194 0.936
Hg 1.392 -1.028 2.236
Hg -0.604 2.347 1.455
Sb 0.000 0.000 0.000
Ag -1.598 0.126 4.627

No. 17
! AgHgSb2, optimized geometry, DFT PBE-GGA; values from VASP
! Fermi-level density of states = 0.4134 states/eV per atom
! Raw formation energy = 0.215 eV per atom
! Calculated density = 9.24 Mg/m³
&SYSTEM
  ibrav = 0, nat = 4, ntyp = 3
/
ATOMIC_SPECIES
Sb 121.76 Sb.upf
Ag 107.87 Ag.upf
Hg 200.59 Hg.upf
CELL_PARAMETERS angstrom
5.860 0.228 0.000
2.225 5.426 0.000
-4.042 -2.827 3.171
ATOMIC_POSITIONS angstrom
Sb 0.000 0.000 0.000
Sb 4.042 2.827 0.000
Ag 1.112 2.713 1.586
Hg 2.930 0.114 1.586

No. 18
! AgHgSb, optimized geometry, DFT PBE-GGA; values from VASP
! Fermi-level density of states = 0.3098 states/eV per atom
! Raw formation energy = 0.164 eV per atom
! Calculated density = 10.22 Mg/m³
&SYSTEM
  ibrav = 0, nat = 3, ntyp = 3
/
ATOMIC_SPECIES
Sb 121.76 Sb.upf
Hg 200.59 Hg.upf
Ag 107.87 Ag.upf
CELL_PARAMETERS angstrom
-0.350 2.025 5.005
4.240 -0.710 3.285
-1.538 2.049 -4.766
ATOMIC_POSITIONS angstrom
Sb 2.572 0.870 5.481
Hg 1.306 0.442 2.784
Ag 0.012 0.004 0.025

No. 19
! AgHg2Sb2, optimized geometry, DFT PBE-GGA; values from VASP
! Fermi-level density of states = 0.3762 states/eV per atom
! Raw formation energy = 0.316 eV per atom
! Calculated density = 8.91 Mg/m³
! ΔE to the lowest computed polymorph = 0.144 eV per atom
&SYSTEM
  ibrav = 0, nat = 5, ntyp = 3
/
ATOMIC_SPECIES
Sb 121.76 Sb.upf
Hg 200.59 Hg.upf
Ag 107.87 Ag.upf
CELL_PARAMETERS angstrom
4.218 0.000 0.000
0.000 4.218 0.000
2.109 2.109 7.885
ATOMIC_POSITIONS angstrom
Sb 4.218 2.109 3.943
Sb 2.109 4.218 3.943
Hg 2.109 2.109 1.417
Hg 4.218 4.218 6.469
Ag 0.000 0.000 0.000

No. 20
! AgHgSb4, optimized geometry, DFT PBE-GGA; values from VASP
! Fermi-level density of states = 0.7005 states/eV per atom
! Raw formation energy = 0.364 eV per atom
! Calculated density = 7.58 Mg/m³
&SYSTEM
  ibrav = 0, nat = 6, ntyp = 3
/
ATOMIC_SPECIES
Ag 107.87 Ag.upf
Sb 121.76 Sb.upf
Hg 200.59 Hg.upf
CELL_PARAMETERS angstrom
-5.411 -1.950 2.494
-4.406 -2.540 -3.665
-1.244 -6.132 0.385
ATOMIC_POSITIONS angstrom
Ag -8.295 -7.967 -0.590
Sb -6.882 -4.951 0.982
Sb -4.753 -7.088 -0.096
Sb -4.117 -3.954 -0.293
Sb -6.368 -5.252 -2.166
Hg 0.000 0.000 0.000